The following is a DFT calculation (PBE) of an optimized crystal structure of Ga2HgIO8.

Summary:
The formation energy without anion corrections is -0.73 eV/atom.

a = 4.664 Å, b = 6.493 Å, c = 4.673 Å
α = 90.00°, β = 91.26°, γ = 90.00°
Fractional positions:
Ga1 0.000 0.248 0.000
Ga2 0.000 0.752 0.000
Hg1 0.500 0.000 0.500
I1 0.500 0.500 0.500
O1 0.176 0.000 0.173
O2 0.203 0.500 0.199
O3 0.301 0.288 0.695
O4 0.301 0.712 0.695
O5 0.699 0.288 0.305
O6 0.699 0.712 0.305
O7 0.797 0.500 0.801
O8 0.824 0.000 0.827

---

The following is a DFT calculation (PBE) of an optimized crystal structure of GaHgIO2.

Summary:
The formation energy without anion corrections is -0.31 eV/atom. The value obtained for the relative energy among the computed polymorphs is 0.565 eV/atom.

a = 3.978 Å, b = 3.978 Å, c = 6.266 Å
α = 90.00°, β = 90.00°, γ = 90.00°
Fractional positions:
Ga1 0.000 0.000 0.000
Hg1 0.500 0.500 0.500
I1 0.000 0.000 0.500
O1 0.000 0.500 0.000
O2 0.500 0.000 0.000

---

The following is a DFT calculation (PBE) of an optimized crystal structure of GaHgIO2.

Summary:
The formation energy without anion corrections is -0.88 eV/atom. The value obtained for the relative energy among the computed polymorphs is 0.000 eV/atom.

a = 7.373 Å, b = 3.665 Å, c = 8.142 Å
α = 90.00°, β = 91.00°, γ = 90.00°
Fractional positions:
Ga1 0.047 0.250 0.131
Ga2 0.953 0.750 0.869
Hg1 0.214 0.250 0.533
Hg2 0.786 0.750 0.467
I1 0.479 0.250 0.755
I2 0.521 0.750 0.245
O1 0.004 0.250 0.349
O2 0.112 0.750 0.059
O3 0.888 0.250 0.941
O4 0.996 0.750 0.651

---

The following is a DFT calculation (PBE) of an optimized crystal structure of GaHgIO2.

Summary:
The formation energy without anion corrections is 0.30 eV/atom. The value obtained for the relative energy among the computed polymorphs is 1.175 eV/atom.

a = 4.283 Å, b = 4.283 Å, c = 6.916 Å
α = 90.00°, β = 90.00°, γ = 90.00°
Fractional positions:
Ga1 0.000 0.000 0.000
Hg1 0.500 0.500 0.500
I1 0.500 0.500 0.000
O1 0.000 0.500 0.500
O2 0.500 0.000 0.500

---

Calculated density readings, ordered: 6983, 7187, 6480, 5617 kg/m3